No. 1
Material: NaSr2Rh
Method: DFT, GGA-PBE
State: optimized geometry

Calculated values
Energy of formation from the pure elements   -62.7 meV per atom
Energy above the lowest structure with this stoichiometry   0.0860 eV per atom

a = 4.3370 Å, b = 4.3370 Å, c = 28.9237 Å
α = 90.00°, β = 90.00°, γ = 120.00°
Space group R-3m (No. 166, hexagonal axes)
Asymmetric unit:
Na 0.0000 0.0000 0.0000
Sr 0.0000 0.0000 0.2208
Rh 0.0000 0.0000 0.5000


No. 2
Material: BaFeCu2
Method: DFT, GGA-PBE
State: optimized geometry

Calculated values
Energy of formation from the pure elements   660.6 meV per atom

a = 3.200 Å, b = 5.218 Å, c = 9.632 Å
α = 90.00°, β = 90.00°, γ = 90.00°
Space group Imm2 (No. 44)
Asymmetric unit:
Ba 0.000 0.000 0.000
Fe 0.000 0.500 0.201
Cu 0.000 0.000 0.493
Cu 0.000 0.500 0.791


No. 3
Material: LiNi5Ir2
Method: DFT, GGA-PBE
State: optimized geometry

Calculated values
Energy of formation from the pure elements   -41.9 meV per atom

a = 5.219 Å, b = 8.362 Å, c = 8.812 Å
α = 90.00°, β = 90.00°, γ = 90.00°
Space group Fmm2 (No. 42)
Asymmetric unit:
Li 0.000 0.000 0.000
Ni 0.000 0.000 0.504
Ni 0.241 0.000 0.256
Ni 0.250 0.250 0.430
Ir 0.000 0.243 0.681


No. 4
Material: CaAc5Pb6
Method: DFT, GGA-PBE
State: optimized geometry

Calculated values
Energy of formation from the pure elements   -492.3 meV per atom
Energy above the lowest structure with this stoichiometry   0.0030 eV per atom

a = 17.384 Å, b = 9.308 Å, c = 5.449 Å
α = 90.00°, β = 108.02°, γ = 90.00°
Space group C2/m (No. 12)
Asymmetric unit:
Ca 0.000 0.000 0.000
Ac 0.000 0.500 0.000
Ac 0.161 0.000 0.660
Ac 0.167 0.500 0.667
Pb 0.000 0.246 0.500
Pb 0.164 0.248 0.164


No. 5
Material: GaCuSi
Method: DFT, GGA-PBE
State: optimized geometry

Calculated values
Formation energy without anion corrections   0.2996 eV/atom

a = 4.4690 Å, b = 4.4690 Å, c = 5.2728 Å
α = 90.00°, β = 90.00°, γ = 120.00°
Space group P6_3/mmc (No. 194)
Asymmetric unit:
Ga 0.3333 0.6667 0.2500
Cu 0.0000 0.0000 0.0000
Si 0.3333 0.6667 0.7500


No. 6
Material: LaDyPu
Method: DFT, GGA-PBE
State: optimized geometry

Calculated values
Energy of formation from the pure elements   124.6 meV per atom
Energy above the lowest structure with this stoichiometry   0.0000 eV per atom

a = 3.563 Å, b = 3.563 Å, c = 15.009 Å
α = 90.00°, β = 90.00°, γ = 90.00°
Space group I4mm (No. 107)
Asymmetric unit:
La 0.000 0.000 0.000
Dy 0.000 0.000 0.676
Pu 0.000 0.000 0.334


For each record above, in turn, the calculated magnetization values are 0.0 5.2 11.5 0.0 0.0 12.2 μB/cell.